[1]
Compound: ZrCd2Cu
Source: Alexandria
Functional: PBE-GGA
Structure: optimized geometry

The value obtained for the calculated volume is 19.5 Å³/atom. The calculation puts the formation energy at -0.0754 eV/atom.

It has space group Pmm2 (No. 25), with a = 3.099 Å, b = 3.143 Å, c = 7.996 Å, α = 90.00°, β = 90.00° and γ = 90.00°. The distinct sites, in fractional coordinates, are Zr at (0.000, 0.000, 0.000), Cd at (0.000, 0.000, 0.430), Cd at (0.500, 0.500, 0.715) and Cu at (0.500, 0.500, 0.217).

[2]
Compound: ZrCdCu2
Source: Alexandria
Functional: PBE-GGA
Structure: optimized geometry

The value obtained for the calculated volume is 17.0 Å³/atom. The calculation puts the formation energy at 0.0330 eV/atom.

It has space group Imm2 (No. 44), with a = 2.926 Å, b = 4.724 Å, c = 9.830 Å, α = 90.00°, β = 90.00° and γ = 90.00°. The distinct sites, in fractional coordinates, are Zr at (0.000, 0.000, 0.000), Cd at (0.000, 0.500, 0.785), Cu at (0.000, 0.000, 0.535) and Cu at (0.000, 0.500, 0.240).

[3]
Compound: ZrCd2Cu
Source: Alexandria
Functional: PBE-GGA
Structure: optimized geometry

The value obtained for the calculated volume is 20.0 Å³/atom. The calculation puts the formation energy at 0.0686 eV/atom.

It has space group R3m (No. 160, hexagonal axes), with a = 3.0072 Å, b = 3.0072 Å, c = 30.6117 Å, α = 90.00°, β = 90.00° and γ = 120.00°. The distinct sites, in fractional coordinates, are Zr at (0.0000, 0.0000, 0.0000), Cd at (0.0000, 0.0000, 0.5174), Cd at (0.0000, 0.0000, 0.7560) and Cu at (0.0000, 0.0000, 0.2584).

[4]
Compound: Zr2CdCu
Source: Alexandria
Functional: PBE-GGA
Structure: optimized geometry

The value obtained for the calculated volume is 20.3 Å³/atom. The calculation puts the formation energy at 0.0718 eV/atom.

It has space group R-3m (No. 166, hexagonal axes), with a = 3.0882 Å, b = 3.0882 Å, c = 29.4406 Å, α = 90.00°, β = 90.00° and γ = 120.00°. The distinct sites, in fractional coordinates, are Zr at (0.0000, 0.0000, 0.2418), Cd at (0.0000, 0.0000, 0.0000) and Cu at (0.0000, 0.0000, 0.5000).

> Look up the calculated volume of the second one.

17.0 Å³/atom